Here is PmGa2Ru after structural relaxation from the Alexandria database. Energies are from PBE.

```
PmGa2Ru
1.0
-3.775 2.173 1.483
0.082 -2.203 3.437
2.333 2.847 1.768
Pm Ga Ru
1 2 1
Cartesian
-0.680 1.408 3.344
0.041 -1.101 1.719
1.166 1.423 0.884
-1.888 1.086 0.741
```

## Properties
ΔE_f   -0.77 eV per formula unit
Space group   No. 123
Polymorph energy (0 for the lowest one)   29.2 kJ/mol of atoms


Here is Cs6TeAu2Cl3 after structural relaxation from the Alexandria database. Energies are from PBE.

```
Cs6TeAu2Cl3
1.0
5.028 0.000 0.000
0.000 10.660 0.146
-2.514 -3.317 10.964
Au Cs Cl Te
2 6 3 1
Cartesian
2.514 4.951 7.446
0.000 2.392 3.663
0.000 7.728 0.233
2.514 5.149 3.706
2.514 -0.384 10.876
0.000 2.194 7.403
2.514 -0.391 3.807
0.000 7.734 7.303
2.514 -0.346 7.307
2.514 5.330 0.073
0.000 7.690 3.803
2.514 0.000 0.000
```

## Properties
E_form (uncorrected)   -1332 kJ/mol of formula units
Space group   No. 12


Here is Na2ThSbO6 after structural relaxation from the Alexandria database. Energies are from PBE.

```
Na2ThSbO6
1.0
-3.697 -0.656 -4.421
4.480 -1.756 -3.486
-1.310 -7.845 2.268
Na O Th Sb
4 12 2 2
Cartesian
-4.491 -6.568 -2.811
-0.471 -7.182 -2.400
-0.056 -3.075 -3.238
3.964 -3.689 -2.827
0.252 -0.938 -1.468
1.999 -1.754 -3.533
0.706 -6.904 -0.304
-2.014 -5.281 -2.728
-2.396 -2.561 -2.164
-1.233 -3.353 -5.334
-0.780 -9.319 -4.170
1.869 -7.696 -3.474
-2.527 -8.503 -2.105
0.035 -6.216 -5.029
-0.562 -4.041 -0.610
1.487 -4.976 -2.910
1.585 -4.801 -0.609
-1.848 -0.328 -2.210
2.240 -0.878 -1.743
-2.503 -4.251 -1.076
```

## Properties
E_form (uncorrected)   -2015 kJ/mol of formula units
Space group   No. 14


Here is Nd2YTmSc after structural relaxation from the Alexandria database. Energies are from PBE.

```
Nd2YTmSc
1.0
7.184 0.000 0.000
0.000 8.167 0.000
0.000 -4.083 5.696
Y Tm Nd Sc
2 2 4 2
Cartesian
1.796 0.000 2.886
5.388 4.083 2.810
5.388 0.000 3.181
1.796 4.083 2.514
0.000 2.451 0.000
3.592 5.716 0.000
0.000 5.716 0.000
3.592 2.451 0.000
1.796 4.083 5.478
5.388 0.000 0.217
```

## Properties
ΔE_f   1.86 eV per formula unit
Space group   No. 63


Here is Nd4DySc5 after structural relaxation from the Alexandria database. Energies are from PBE.

```
Nd4DySc5
1.0
3.572 0.000 0.000
0.000 3.572 0.000
0.000 0.000 22.823
Sc Nd Dy
5 4 1
Cartesian
1.786 1.786 11.412
1.786 1.786 20.607
1.786 1.786 2.216
1.786 1.786 16.007
1.786 1.786 6.816
0.000 0.000 9.117
0.000 0.000 4.522
0.000 0.000 18.302
0.000 0.000 13.707
0.000 0.000 0.000
```

## Properties
ΔE_f   0.55 eV per formula unit
Space group   No. 123


Here is YNpAs2 after structural relaxation from the Alexandria database. Energies are from PBE.

```
YNpAs2
1.0
-2.503 2.537 -1.811
-3.175 -1.400 -1.984
-5.839 0.787 4.762
Np As Y
1 2 1
Cartesian
-5.782 0.964 0.519
-2.868 0.480 0.224
-4.870 0.687 3.282
-9.595 1.541 2.187
```

## Properties
ΔE_f   -3.89 eV per formula unit
Space group   No. 160
Polymorph energy (0 for the lowest one)   13.9 kJ/mol of atoms


Here is Ba2CaCr after structural relaxation from the Alexandria database. Energies are from PBE.

```
Ba2CaCr
1.0
9.877 0.000 0.000
0.000 9.877 0.000
4.938 4.938 3.616
Cr Ba Ca
2 4 2
Cartesian
0.000 0.000 0.000
9.877 4.938 1.808
7.408 6.952 2.712
2.013 7.408 0.904
12.346 12.802 2.712
7.863 2.469 0.904
4.938 4.938 0.000
4.938 9.877 1.808
```

## Properties
ΔE_f   2.39 eV per formula unit
Space group   No. 122
Polymorph energy (0 for the lowest one)   18.3 kJ/mol of atoms


Here is Er2AlIr3 after structural relaxation from the Alexandria database. Energies are from PBE.

```
Er2AlIr3
1.0
4.655 -0.031 2.127
1.354 4.454 2.127
-0.042 -0.031 5.118
Ir Al Er
3 1 2
Cartesian
-0.021 -0.015 2.559
0.677 2.227 1.064
2.328 -0.015 1.064
0.000 0.000 0.000
3.746 2.757 5.883
2.222 1.635 3.489
```

## Properties
ΔE_f   -5.70 eV per formula unit
Space group   No. 166
Polymorph energy (0 for the lowest one)   0.0 kJ/mol of atoms


Here is KPtCl4 after structural relaxation from the Alexandria database. Energies are from PBE.

```
KPtCl4
1.0
6.948 1.207 0.243
3.488 6.130 0.243
1.463 1.028 10.118
Cl K Pt
8 2 2
Cartesian
6.872 2.993 5.596
9.035 4.513 7.418
4.411 4.940 0.537
2.864 3.852 3.185
7.488 3.426 10.066
6.574 6.460 2.359
5.027 5.372 5.007
5.325 1.905 8.244
1.744 3.065 0.121
4.205 1.118 5.180
7.180 3.209 7.831
4.719 5.156 2.772
```

## Properties
E_form (uncorrected)   -503 kJ/mol of formula units
Space group   No. 12
Polymorph energy (0 for the lowest one)   0.2 kJ/mol of atoms


Here is Mg2TiAg after structural relaxation from the Alexandria database. Energies are from PBE.

```
Mg2TiAg
1.0
-0.270 -1.194 2.669
1.770 -2.198 0.811
7.407 5.836 4.974
Mg Ag Ti
2 1 1
Cartesian
5.515 3.928 3.929
3.391 -1.484 4.525
4.453 1.222 4.227
0.000 0.000 0.000
```

## Properties
ΔE_f   0.91 eV per formula unit
Space group   No. 166
Polymorph energy (0 for the lowest one)   22.9 kJ/mol of atoms


Here is BaNaTlCd2 after structural relaxation from the Alexandria database. Energies are from PBE.

```
BaNaTlCd2
1.0
5.563 0.000 0.000
0.000 5.658 0.000
0.000 0.000 5.563
Cd Tl Na Ba
2 1 1 1
Cartesian
0.000 0.000 2.781
2.781 0.000 0.000
0.000 2.829 0.000
0.000 0.000 0.000
2.781 2.829 2.781
```

## Properties
ΔE_f   0.16 eV per formula unit
Space group   No. 123


Here is CaPmIn after structural relaxation from the Alexandria database. Energies are from PBE.

```
CaPmIn
1.0
-1.988 1.437 -2.806
2.191 -3.558 -3.374
-4.542 -1.208 2.599
Pm In Ca
1 1 1
Cartesian
-3.050 -1.448 -0.453
-1.396 -1.805 -3.278
-1.881 1.359 -2.655
```

## Properties
ΔE_f   -0.69 eV per formula unit
Space group   No. 156
Polymorph energy (0 for the lowest one)   18.4 kJ/mol of atoms


no.,V (Å³ per cell),M_tot (μB/f.u.)
1,76.7,0.0
2,590.0,1.0
3,285.0,1.1
4,334.1,0.0
5,291.1,0.0
6,99.8,4.0
7,352.7,4.0
8,106.9,0.0
9,385.7,0.3
10,78.6,0.0
11,175.1,0.0
12,93.1,0.0